Record 1
# PBE AlFe, relaxed
data_AlFe
_cell_length_a 4.2104
_cell_length_b 4.2104
_cell_length_c 7.1552
_cell_angle_alpha 90.00
_cell_angle_beta 90.00
_cell_angle_gamma 120.00
_symmetry_space_group_name_H-M 'P 63/m m c'
_symmetry_Int_Tables_number 194
_symmetry_space_group_name_Hall '-P 6c 2c'
loop_
_atom_site_label
_atom_site_fract_x
_atom_site_fract_y
_atom_site_fract_z
Al1 0.0000 0.0000 0.2500
Al2 0.3333 0.6667 0.2500
Fe1 0.3333 0.6667 0.5867
# * calculated formation energy: 57 meV per atom

Record 2
# PBE AlFe, relaxed
data_AlFe
_cell_length_a 4.6275
_cell_length_b 4.8428
_cell_length_c 9.1895
_cell_angle_alpha 90.00
_cell_angle_beta 90.00
_cell_angle_gamma 90.00
_symmetry_space_group_name_H-M 'P 21 21 21'
_symmetry_Int_Tables_number 19
_symmetry_space_group_name_Hall 'P 2ac 2ab'
loop_
_atom_site_label
_atom_site_fract_x
_atom_site_fract_y
_atom_site_fract_z
Al1 0.1495 0.0284 0.1991
Al2 0.1555 0.6649 0.9450
Fe1 0.1453 0.4900 0.6874
Fe2 0.1986 0.8190 0.4419
# * calculated formation energy: -211 meV per atom

Record 3
# PBE AlFe, relaxed
data_AlFe
_cell_length_a 4.8692
_cell_length_b 4.8692
_cell_length_c 4.8773
_cell_angle_alpha 90.00
_cell_angle_beta 90.00
_cell_angle_gamma 90.00
_symmetry_space_group_name_H-M 'P 42/m n m'
_symmetry_Int_Tables_number 136
_symmetry_space_group_name_Hall '-P 4n 2n'
loop_
_atom_site_label
_atom_site_fract_x
_atom_site_fract_y
_atom_site_fract_z
Al1 0.1913 0.1913 0.0000
Fe1 0.1835 0.1835 0.5000
# * calculated formation energy: 281 meV per atom

Record 4
# PBE AlFe, relaxed
data_AlFe
_cell_length_a 7.3852
_cell_length_b 7.3852
_cell_length_c 7.3852
_cell_angle_alpha 90.00
_cell_angle_beta 90.00
_cell_angle_gamma 90.00
_symmetry_space_group_name_H-M 'I -4 3 m'
_symmetry_Int_Tables_number 217
_symmetry_space_group_name_Hall 'I -4 2 3'
loop_
_atom_site_label
_atom_site_fract_x
_atom_site_fract_y
_atom_site_fract_z
Al1 0.2042 0.2042 0.2042
Fe1 0.1104 0.1104 0.8896
# * calculated formation energy: 816 meV per atom